Entry 1:
Computed, not measured: an optimized crystal structure of KPAuCl2 at the PBEsol level of DFT.

Cell lengths 5.5131, 5.5131, 5.8066 Å; angles 90.00, 90.00, 90.00 degrees
Last column: magnetic moment on the atom in μB.
Element x y z (fractional)
Au 0.5000 0.5000 0.5000  0.03
P 0.0000 0.0000 0.5000  1.08
K 0.0000 0.0000 0.0000  0.04
Cl 0.0000 0.5000 0.0000  0.19
Cl 0.5000 0.0000 0.0000  0.19

Computed properties:
* total magnetic moment: 3.1 μB/cell
* calculated density: 3.18 g cm⁻³
* SG: P4/mmm, No. 123
* D(E_F): 0.68 states/eV/atom
* formation energy (no corrections): 0.860 eV per atom



Entry 2:
Computed, not measured: an optimized crystal structure of MgZr2Cd at the PBEsol level of DFT.

Cell lengths 3.5984, 4.5264, 5.8761 Å; angles 112.65, 107.83, 90.00 degrees
Element x y z (fractional)
Zr 0.2536 0.2536 0.5072
Zr 0.7464 0.7464 0.4928
Mg 0.5000 0.0000 0.0000
Cd 0.0000 0.5000 0.0000

Computed properties:
* total magnetic moment: 0.0 μB/cell
* calculated density: 6.36 g cm⁻³
* final energy: -0.195 hartree per atom
* SG: Immm, No. 71
* D(E_F): 0.81 states/eV/atom



Entry 3:
Computed, not measured: an optimized crystal structure of LiTeIN2 at the PBEsol level of DFT.

Cell lengths 4.3378, 4.3378, 5.5288 Å; angles 90.00, 90.00, 90.00 degrees
Last column: magnetic moment on the atom in μB.
Element x y z (fractional)
N 0.0000 0.5000 0.0000  1.59
N 0.5000 0.0000 0.0000  1.59
Te 0.0000 0.0000 0.5000  0.19
Li 0.0000 0.0000 0.0000  0.00
I 0.5000 0.5000 0.5000  0.11

Computed properties:
* total magnetic moment: 5.3 μB/cell
* calculated density: 4.62 g cm⁻³
* SG: P4/mmm, No. 123
* D(E_F): 0.45 states/eV/atom
* energy relative to the lowest polymorph listed for this composition: 0 meV per atom
* formation energy (no corrections): 1.608 eV per atom